Entry from Alexandria via LeMat-Bulk: a relaxed La2NdY5Tm crystal (GGA-PBE).

## Properties
Uncorrected energy: -197.0 eV/cell

a b c (Å): 8.6313 8.6313 16.0243
angles (deg): 90.00 90.00 90.00
Closest atoms and distances in Å follow each position.
Space group I4/mcm (No. 140)
Unique sites:
La 0.1187 0.3813 0.0000 x8  1 La 2.90, 2 Y 3.06
Nd 0.0000 0.5000 0.2500 x4  4 Y 3.12
Y 0.0000 0.0000 0.0000 x4  4 La 3.45, 8 Y 3.83
Y 0.2128 0.2872 0.3584 x16  1 La 3.06, 1 Nd 3.12
Tm 0.0000 0.0000 0.2500 x4  8 Y 3.54

***

Entry from Alexandria via LeMat-Bulk: a relaxed LaNd6Y3Tm2 crystal (GGA-PBE).

## Properties
Uncorrected energy: -123.3 eV/cell

a b c (Å): 6.2968 10.9067 11.9513
angles (deg): 90.00 100.11 90.00
Closest atoms and distances in Å follow each position.
Space group C2/m (No. 12)
Unique sites:
La 0.0000 0.0000 0.0000 x2  6 Nd 3.62, 6 Tm 3.63-3.64
Nd 0.2490 0.3327 0.7496 x8  3 Y 3.60-3.61, 2 Tm 3.61-3.62, 1 La 3.62, 6 Nd 3.63-3.65
Nd 0.2493 0.5000 0.2505 x4  3 Y 3.61, 2 Tm 3.62, 1 La 3.62, 6 Nd 3.63-3.65
Y 0.0000 0.1671 0.5000 x4  6 Nd 3.60-3.61, 6 Y 3.63-3.64
Y 0.0000 0.5000 0.5000 x2  6 Nd 3.61, 6 Y 3.63-3.64
Tm 0.0000 0.3335 0.0000 x4  6 Nd 3.61-3.62, 3 Tm 3.63-3.64, 3 La 3.63-3.64

***

Entry from Alexandria via LeMat-Bulk: a relaxed LaNdYTm2 crystal (GGA-PBE).

## Properties
Uncorrected energy: -93.9 eV/cell

a b c (Å): 6.4708 16.6830 6.4426
angles (deg): 90.00 90.00 90.00
Closest atoms and distances in Å follow each position.
Space group Cmcm (No. 63)
Unique sites:
La 0.0000 0.2254 0.2500 x4  4 Nd 3.42-3.79, 4 Y 3.45-3.80
Nd 0.0000 0.1559 0.7500 x4  1 Y 3.18, 2 La 3.42, 4 Tm 3.45
Y 0.0000 0.3464 0.7500 x4  1 Nd 3.18, 4 Tm 3.44, 2 La 3.45
Tm 0.2466 0.0000 0.0000 x8  4 Tm 3.19-3.28, 2 Y 3.44, 2 Nd 3.45

***

Entry from Alexandria via LeMat-Bulk: a relaxed La2NdYTm5 crystal (GGA-PBE).

## Properties
Uncorrected energy: -164.6 eV/cell

a b c (Å): 8.6689 8.6689 15.6136
angles (deg): 90.00 90.00 90.00
Closest atoms and distances in Å follow each position.
Space group I4/mcm (No. 140)
Unique sites:
La 0.1170 0.3830 0.0000 x8  1 La 2.87, 2 Tm 3.01
Nd 0.0000 0.0000 0.2500 x4  10 Tm 3.53-3.90
Y 0.0000 0.5000 0.2500 x4  4 Tm 3.15
Tm 0.0000 0.0000 0.0000 x4  4 La 3.47, 8 Tm 3.79
Tm 0.2155 0.2845 0.3594 x16  1 La 3.01, 1 Y 3.15

***

Entry from Alexandria via LeMat-Bulk: a relaxed LaNd2Y5Tm crystal (GGA-PBE).

## Properties
Uncorrected energy: -196.4 eV/cell

a b c (Å): 8.6456 8.6456 15.8877
angles (deg): 90.00 90.00 90.00
Closest atoms and distances in Å follow each position.
Space group I4/mcm (No. 140)
Unique sites:
La 0.0000 0.5000 0.2500 x4  4 Y 3.08
Nd 0.1193 0.3807 0.0000 x8  1 Nd 2.92, 2 Y 3.06
Y 0.0000 0.0000 0.0000 x4  4 Nd 3.45, 8 Y 3.81
Y 0.2067 0.2933 0.3612 x16  1 Nd 3.06, 1 La 3.08
Tm 0.0000 0.0000 0.2500 x4  10 Y 3.57-3.97

***

Entry from Alexandria via LeMat-Bulk: a relaxed La2Nd3Y6Tm crystal (GGA-PBE).

## Properties
Uncorrected energy: -134.5 eV/cell

a b c (Å): 6.2813 10.8789 11.9290
angles (deg): 90.00 100.08 90.00
Closest atoms and distances in Å follow each position.
Space group C2/m (No. 12)
Unique sites:
La 0.0000 0.1660 0.0000 x4  6 Y 3.61, 3 La 3.61-3.63, 3 Tm 3.62-3.63
Nd 0.0000 0.0000 0.5000 x2  6 Y 3.60, 6 Nd 3.62-3.63
Nd 0.0000 0.3330 0.5000 x4  6 Y 3.60-3.61, 6 Nd 3.62-3.63
Y 0.2493 0.3339 0.2502 x8  3 Nd 3.60-3.61, 1 Tm 3.60, 2 La 3.61, 6 Y 3.61-3.63
Y 0.2487 0.5000 0.7492 x4  3 Nd 3.60, 1 Tm 3.61, 2 La 3.61, 6 Y 3.61-3.63
Tm 0.0000 0.5000 0.0000 x2  6 Y 3.60-3.61, 6 La 3.62-3.63

***

Entry from Alexandria via LeMat-Bulk: a relaxed La2NdY2Tm crystal (GGA-PBE).

## Properties
Uncorrected energy: -60.9 eV/cell

a b c (Å): 6.6688 18.3810 3.4250
angles (deg): 90.00 90.00 90.00
Closest atoms and distances in Å follow each position.
Space group Pnnm (No. 58)
Unique sites:
La 0.2254 0.1857 0.0000 x4  4 Y 3.41-3.56, 2 La 3.42, 1 Tm 3.73
Nd 0.0000 0.5000 0.0000 x2  2 Nd 3.42, 4 Y 3.50, 4 Tm 3.75
Y 0.2234 0.3553 0.5000 x4  1 Tm 3.24, 4 La 3.41-3.56, 2 Y 3.42, 2 Nd 3.50
Tm 0.0000 0.0000 0.0000 x2  2 Y 3.24, 2 Tm 3.42

***

Entry from Alexandria via LeMat-Bulk: a relaxed LaNd2Y2Tm2 crystal (GGA-PBE).

## Properties
Uncorrected energy: -70.7 eV/cell

a b c (Å): 11.6587 3.5197 11.8364
angles (deg): 90.00 101.03 90.00
Closest atoms and distances in Å follow each position.
Space group C2/m (No. 12)
Unique sites:
La 0.0000 0.0000 0.0000 x2  6 Tm 3.48-3.54, 2 La 3.52, 4 Y 3.64
Nd 0.1553 0.5000 0.5757 x4  1 Tm 3.45, 5 Nd 3.52-3.72, 4 Y 3.54-3.69
Y 0.0920 0.5000 0.2713 x4  2 Y 3.52, 4 Nd 3.54-3.69, 3 Tm 3.56-3.62, 2 La 3.64
Tm 0.2054 0.5000 0.8724 x4  1 Nd 3.45, 3 La 3.48-3.54, 4 Tm 3.48-3.52, 3 Y 3.56-3.62

***

Summary of formation enthalpy at 0 K in eV/atom
0.240, 0.016, 0.325, 0.254, 0.239, 0.012, 0.264, 0.140
(order as listed above)
Summary of spin magnetization in μB/cell
0.000, 0.000, 0.000, 0.004, 0.002, 0.000, 0.001, 0.000
(order as listed above)
Summary of DOS(E_F) in states/eV/f.u.
12.233, 15.311, 8.540, 11.812, 10.386, 14.899, 11.088, 12.165
(order as listed above)